Computed, not measured: an optimized crystal structure of RbGa5Au4 at the PBE-GGA level of DFT.

abc: 6.815 6.791 9.463
angles: 90.00 90.00 90.00
Element x y z (fractional)
Ga: 0.201 0.745 0.752
Au: 0.011 0.204 0.000
Ga: 0.799 0.245 0.252
Ga: 0.799 0.755 0.748
Au: 0.989 0.704 0.500
Ga: 0.201 0.255 0.752
Ga: 0.201 0.255 0.248
Rb: 0.504 0.000 0.000
Ga: 0.201 0.745 0.248
Au: 0.523 0.000 0.666
Au: 0.477 0.500 0.166
Au: 0.523 0.000 0.334
Rb: 0.496 0.500 0.500
Au: 0.477 0.500 0.834
Ga: 0.799 0.755 0.252
Ga: 0.799 0.245 0.748
Ga: 0.220 0.000 0.500
Au: 0.989 0.296 0.500
Au: 0.011 0.796 0.000
Ga: 0.780 0.500 0.000

Crystal system ... orthorhombic
Energy of formation from the pure elements ... -0.19 eV/atom
Raw total energy ... -3.11 eV/atom
Fermi-level density of states ... 4.259 states/eV/f.u.